Entry one
# TiBTe3, relaxed, DFT PBE
data_TiBTe3
_space_group_name_H-M_alt 'P m -3 m'
_space_group_IT_number 221
_space_group_name_Hall '-P 4 2 3'
_cell_length_a 5.324
_cell_length_b 5.324
_cell_length_c 5.324
_cell_angle_alpha 90.00
_cell_angle_beta 90.00
_cell_angle_gamma 90.00
loop_
_atom_site_label
_atom_site_fract_x
_atom_site_fract_y
_atom_site_fract_z
_atom_site_occupancy
Ti1 0.000 0.000 0.000 1
B1 0.500 0.500 0.500 1
Te1 0.000 0.000 0.500 1
# DOS(E_F): 2.520 states/eV per cell

Entry two
# TiBTe3, relaxed, DFT PBE
data_TiBTe3
_space_group_name_H-M_alt 'P m -3 m'
_space_group_IT_number 221
_space_group_name_Hall '-P 4 2 3'
_cell_length_a 4.814
_cell_length_b 4.814
_cell_length_c 4.814
_cell_angle_alpha 90.00
_cell_angle_beta 90.00
_cell_angle_gamma 90.00
loop_
_atom_site_label
_atom_site_fract_x
_atom_site_fract_y
_atom_site_fract_z
_atom_site_occupancy
Ti1 0.000 0.000 0.000 1
B1 0.500 0.500 0.500 1
Te1 0.000 0.500 0.500 1
# DOS(E_F): 6.882 states/eV per cell

Short version: entry one is the least stable of them.

Entry one
# TiB2Te, relaxed, DFT PBE
data_TiB2Te
_space_group_name_H-M_alt 'I -4 2 d'
_space_group_IT_number 122
_space_group_name_Hall 'I -4 2bw'
_cell_length_a 5.381
_cell_length_b 5.381
_cell_length_c 9.491
_cell_angle_alpha 90.00
_cell_angle_beta 90.00
_cell_angle_gamma 90.00
loop_
_atom_site_label
_atom_site_fract_x
_atom_site_fract_y
_atom_site_fract_z
_atom_site_occupancy
Ti1 0.000 0.000 0.000 1
B1 0.247 0.250 0.125 1
Te1 0.000 0.000 0.500 1
# DOS(E_F): 3.438 states/eV per cell

Entry two
# TiB2Te, relaxed, DFT PBE
data_TiB2Te
_space_group_name_H-M_alt 'F m -3 m'
_space_group_IT_number 225
_space_group_name_Hall '-F 4 2 3'
_cell_length_a 6.045
_cell_length_b 6.045
_cell_length_c 6.045
_cell_angle_alpha 90.00
_cell_angle_beta 90.00
_cell_angle_gamma 90.00
loop_
_atom_site_label
_atom_site_fract_x
_atom_site_fract_y
_atom_site_fract_z
_atom_site_occupancy
Ti1 0.000 0.000 0.000 1
B1 0.250 0.250 0.250 1
Te1 0.000 0.000 0.500 1
# DOS(E_F): 13.630 states/eV per cell

Short version: entry two is the least stable of them.

Entry one
# Ti2BTe, relaxed, DFT PBE
data_Ti2BTe
_space_group_name_H-M_alt 'F m -3 m'
_space_group_IT_number 225
_space_group_name_Hall '-F 4 2 3'
_cell_length_a 6.333
_cell_length_b 6.333
_cell_length_c 6.333
_cell_angle_alpha 90.00
_cell_angle_beta 90.00
_cell_angle_gamma 90.00
loop_
_atom_site_label
_atom_site_fract_x
_atom_site_fract_y
_atom_site_fract_z
_atom_site_occupancy
Ti1 0.250 0.250 0.250 1
B1 0.000 0.000 0.000 1
Te1 0.000 0.000 0.500 1
# DOS(E_F): 18.207 states/eV per cell

Entry two
# Ti2BTe, relaxed, DFT PBE
data_Ti2BTe
_space_group_name_H-M_alt 'I -4 2 d'
_space_group_IT_number 122
_space_group_name_Hall 'I -4 2bw'
_cell_length_a 5.616
_cell_length_b 5.616
_cell_length_c 10.611
_cell_angle_alpha 90.00
_cell_angle_beta 90.00
_cell_angle_gamma 90.00
loop_
_atom_site_label
_atom_site_fract_x
_atom_site_fract_y
_atom_site_fract_z
_atom_site_occupancy
Ti1 0.153 0.250 0.125 1
B1 0.000 0.000 0.000 1
Te1 0.000 0.000 0.500 1
# DOS(E_F): 13.483 states/eV per cell

Short version: entry one is the least stable of them.